PBE-GGA Ba2AlPbO5, relaxed; SG = No. 36; formation energy without anion corrections = -2.189 eV per atom; size of the total moment = 0.0 μB/f.u.
1.0
-2.406 0.920 -2.415
-4.299 -4.056 5.318
-2.056 9.716 5.749
Ba Al Pb O
4 2 2 10
direct
0.868 0.735 0.827
0.104 0.209 0.676
0.132 0.265 0.327
0.896 0.791 0.176
0.548 0.096 0.928
0.452 0.904 0.428
0.793 0.585 0.535
0.207 0.415 0.035
0.349 0.697 0.006
0.664 0.328 0.904
0.498 0.995 0.791
0.287 0.575 0.669
0.971 0.942 0.488
0.651 0.303 0.506
0.336 0.672 0.404
0.502 0.005 0.291
0.713 0.425 0.169
0.029 0.058 0.988